Here is a PBEsol-optimized structure of BeZn2W from Alexandria via LeMat-Bulk. Energies are from meta-GGA SCAN.

Output
For the total energy, the calculation gives -25.030 eV/atom. Its density of states at the Fermi level is 1.6 states/eV per cell.

Unit cell a=2.768 b=2.768 c=6.562 alpha=90.00 beta=90.00 gamma=90.00
Atoms (fractional coordinates):
Be: 0.000 0.000 0.000
Zn: 0.500 0.500 0.209
Zn: 0.500 0.500 0.791
W: 0.000 0.000 0.500

Here is a PBEsol-optimized structure of BeZn2W from Alexandria via LeMat-Bulk. Energies are from meta-GGA SCAN.

Output
For the total energy, the calculation gives -25.071 eV/atom. Its density of states at the Fermi level is 1.2 states/eV per cell.

Unit cell a=3.796 b=5.237 c=5.237 alpha=29.86 beta=90.00 gamma=90.00
Atoms (fractional coordinates):
Be: 0.000 0.000 0.000
Zn: 0.000 0.763 0.763
Zn: 0.500 0.143 0.143
W: 0.500 0.409 0.409

Here is a PBEsol-optimized structure of BeZn2W from Alexandria via LeMat-Bulk. Energies are from meta-GGA SCAN.

Output
For the total energy, the calculation gives -24.860 eV/atom. Its density of states at the Fermi level is 2.0 states/eV per cell.

Unit cell a=4.613 b=4.613 c=4.613 alpha=132.85 beta=132.85 gamma=68.89
Atoms (fractional coordinates):
Be: 0.000 0.000 0.000
Zn: 0.250 0.750 0.500
Zn: 0.500 0.500 0.000
W: 0.750 0.250 0.500

Here is a PBEsol-optimized structure of BeZn4W from Alexandria via LeMat-Bulk. Energies are from meta-GGA SCAN.

Output
For the total energy, the calculation gives -20.853 eV/atom. Its density of states at the Fermi level is 3.7 states/eV per cell.

Unit cell a=4.854 b=4.854 c=4.854 alpha=60.00 beta=60.00 gamma=60.00
Atoms (fractional coordinates):
Be: 0.000 0.000 0.000
Zn: 0.127 0.624 0.624
Zn: 0.624 0.127 0.624
Zn: 0.624 0.624 0.127
Zn: 0.624 0.624 0.624
W: 0.250 0.250 0.250

Here is a PBEsol-optimized structure of YBe from Alexandria via LeMat-Bulk. Energies are from meta-GGA SCAN.

Output
For the total energy, the calculation gives -15.594 eV/atom. Its density of states at the Fermi level is 4.3 states/eV per cell. The energy above the most stable polymorph in this dataset is 0.545 eV/atom.

Unit cell a=3.525 b=3.525 c=8.160 alpha=90.00 beta=90.00 gamma=120.00
Atoms (fractional coordinates):
Y: 0.000 0.000 0.000
Y: 0.000 0.000 0.500
Be: 0.333 0.667 0.250
Be: 0.667 0.333 0.750

Here is a PBEsol-optimized structure of YBe from Alexandria via LeMat-Bulk. Energies are from meta-GGA SCAN.

Output
For the total energy, the calculation gives -16.138 eV/atom. Its density of states at the Fermi level is 2.0 states/eV per cell. The energy above the most stable polymorph in this dataset is 0.000 eV/atom.

Unit cell a=4.685 b=4.685 c=4.023 alpha=90.00 beta=90.00 gamma=120.00
Atoms (fractional coordinates):
Y: 0.333 0.667 0.250
Y: 0.667 0.333 0.750
Be: 0.000 0.000 0.250
Be: 0.000 0.000 0.750

Here is a PBEsol-optimized structure of Y5Be from Alexandria via LeMat-Bulk. Energies are from meta-GGA SCAN.

Output
For the total energy, the calculation gives -23.866 eV/atom. Its density of states at the Fermi level is 6.9 states/eV per cell. The energy above the most stable polymorph in this dataset is 0.003 eV/atom.

Unit cell a=6.229 b=6.229 c=8.332 alpha=111.73 beta=111.73 gamma=33.05
Atoms (fractional coordinates):
Y: 0.000 0.000 0.000
Y: 0.335 0.335 0.214
Y: 0.366 0.366 0.634
Y: 0.634 0.634 0.366
Y: 0.665 0.665 0.786
Be: 0.000 0.000 0.500

Here is a PBEsol-optimized structure of YBe13 from Alexandria via LeMat-Bulk. Energies are from meta-GGA SCAN.

Output
For the total energy, the calculation gives -6.211 eV/atom. Its density of states at the Fermi level is 6.9 states/eV per cell.

Unit cell a=7.167 b=7.167 c=7.167 alpha=60.00 beta=60.00 gamma=60.00
Atoms (fractional coordinates):
Y: 0.250 0.250 0.250
Y: 0.750 0.750 0.750
Be: 0.000 0.000 0.000
Be: 0.062 0.291 0.709
Be: 0.062 0.709 0.938
Be: 0.062 0.938 0.291
Be: 0.209 0.438 0.791
Be: 0.209 0.562 0.438
Be: 0.209 0.791 0.562
Be: 0.291 0.062 0.938
Be: 0.291 0.709 0.062
Be: 0.291 0.938 0.709
Be: 0.438 0.209 0.562
Be: 0.438 0.562 0.791
Be: 0.438 0.791 0.209
Be: 0.500 0.500 0.500
Be: 0.562 0.209 0.791
Be: 0.562 0.438 0.209
Be: 0.562 0.791 0.438
Be: 0.709 0.062 0.291
Be: 0.709 0.291 0.938
Be: 0.709 0.938 0.062
Be: 0.791 0.209 0.438
Be: 0.791 0.438 0.562
Be: 0.791 0.562 0.209
Be: 0.938 0.062 0.709
Be: 0.938 0.291 0.062
Be: 0.938 0.709 0.291

Number 1: formation energy 0.238 eV/atom, theoretical density 10.7 g/cm3. Number 2: formation energy 0.197 eV/atom, theoretical density 10.4 g/cm3. Number 3: formation energy 0.408 eV/atom, theoretical density 10.4 g/cm3. Number 4: formation energy 0.497 eV/atom, theoretical density 9.3 g/cm3. Number 5: formation energy 0.505 eV/atom, theoretical density 3.7 g/cm3. Number 6: formation energy -0.040 eV/atom, theoretical density 4.3 g/cm3. Number 7: formation energy 0.062 eV/atom, theoretical density 4.6 g/cm3. Number 8: formation energy -0.180 eV/atom, theoretical density 2.6 g/cm3.